PrUBeN3 PBE relaxed; formation energy from raw total energies = -1227 meV per atom; volume = 14.0 Å³ per atom; Fermi-level density of states = 5.388 states/eV per cell; total DFT energy (no corrections) = -8.6883 eV per atom; ρ = 8.52 g/cm³
1.0
3.358 0.000 0.000
0.000 7.226 0.699
0.000 -2.036 6.711
Pr U Be N
2 2 2 6
direct
0.750 0.825 0.787
0.250 0.175 0.213
0.250 0.660 0.184
0.750 0.340 0.816
0.250 0.073 0.596
0.750 0.927 0.404
0.250 0.843 0.486
0.750 0.877 0.155
0.750 0.428 0.140
0.750 0.157 0.514
0.250 0.572 0.860
0.250 0.123 0.845



CoAu3N PBE relaxed; formation energy from raw total energies = 1040 meV per atom; volume = 16.3 Å³ per atom; distance to the lowest polymorph of the same formula = 0.0 kJ per mole of atoms; Fermi-level density of states = 4.162 states/eV per cell; total DFT energy (no corrections) = -4.0128 eV per atom; ρ = 13.57 g/cm³
1.0
4.331 0.000 0.000
0.000 4.331 0.000
0.000 0.000 4.331
Co Au N
1 3 1
direct
0.500 0.500 0.500
0.000 0.500 0.000
0.000 0.000 0.500
0.500 0.000 0.000
0.000 0.000 0.000



POs2PtI PBE relaxed; formation energy from raw total energies = 1520 meV per atom; volume = 20.9 Å³ per atom; Fermi-level density of states = 4.738 states/eV per cell; total DFT energy (no corrections) = -5.5721 eV per atom; ρ = 11.63 g/cm³
1.0
-2.320 -3.645 0.483
3.269 -2.307 -1.701
2.143 -0.695 5.061
I P Os Pt
1 1 2 1
direct
0.000 0.000 0.500
0.000 0.000 0.000
0.000 0.500 0.000
0.500 0.000 0.000
0.500 0.500 0.500



KTi4O8 PBE relaxed; formation energy from raw total energies = -2901 meV per atom; volume = 12.0 Å³ per atom; Fermi-level density of states = 5.252 states/eV per cell; total DFT energy (no corrections) = -8.4658 eV per atom; ρ = 3.80 g/cm³
1.0
-0.380 -6.707 -3.051
3.190 5.715 3.407
-3.209 -2.315 6.227
K Ti O
1 4 8
direct
0.000 0.000 0.000
0.667 0.151 0.818
0.333 0.849 0.182
0.151 0.333 0.484
0.849 0.667 0.516
0.701 0.345 0.046
0.299 0.655 0.954
0.345 0.299 0.644
0.655 0.701 0.356
0.960 0.334 0.294
0.040 0.666 0.706
0.334 0.040 0.374
0.666 0.960 0.626



BiIr2Os2 PBE relaxed; volume = 17.2 Å³ per atom; distance to the lowest polymorph of the same formula = 6.5 kJ per mole of atoms; Fermi-level density of states = 14.581 states/eV per cell; total DFT energy (no corrections) = -8.2248 eV per atom; ρ = 18.85 g/cm³
1.0
7.810 0.000 0.000
0.000 7.810 0.000
0.000 0.000 2.813
Ir Os Bi
4 4 2
direct
0.379 0.879 0.000
0.879 0.621 0.000
0.621 0.121 0.000
0.121 0.379 0.000
0.172 0.672 0.500
0.672 0.828 0.500
0.828 0.328 0.500
0.328 0.172 0.500
0.000 0.000 0.000
0.500 0.500 0.000



TbY2TmSe4 PBE relaxed; formation energy from raw total energies = -1738 meV per atom; volume = 23.9 Å³ per atom; Fermi-level density of states = 4.767 states/eV per cell; total DFT energy (no corrections) = -6.2339 eV per atom; ρ = 7.15 g/cm³
1.0
-3.671 1.397 0.880
-2.713 -3.783 -5.313
-1.849 -6.400 2.446
Tb Y Tm Se
1 2 1 4
direct
0.500 0.500 0.000
0.000 0.000 0.000
0.500 0.000 0.500
0.000 0.500 0.500
0.000 0.748 0.747
0.000 0.252 0.253
0.500 0.745 0.255
0.500 0.255 0.745



Repeat the second record exactly.
CoAu3N PBE relaxed; formation energy from raw total energies = 1040 meV per atom; volume = 16.3 Å³ per atom; distance to the lowest polymorph of the same formula = 0.0 kJ per mole of atoms; Fermi-level density of states = 4.162 states/eV per cell; total DFT energy (no corrections) = -4.0128 eV per atom; ρ = 13.57 g/cm³
1.0
4.331 0.000 0.000
0.000 4.331 0.000
0.000 0.000 4.331
Co Au N
1 3 1
direct
0.500 0.500 0.500
0.000 0.500 0.000
0.000 0.000 0.500
0.500 0.000 0.000
0.000 0.000 0.000



> Which of these has the lowest ρ?

KTi4O8



> Among the records above, which one has the highest Fermi-level density of states?

BiIr2Os2